No. 1
LiErPaN3 after structural relaxation. Source: Alexandria, functional PBE.

symmetry: P2_1/m, No. 11
DFT total energy: -8.12 eV/atom
E_form (uncorrected): -1292 meV per atom
crystal system: monoclinic

Geometry as POSCAR:
```
LiErPaN3
1.0
3.314 0.000 0.000
0.000 7.245 0.276
0.000 -1.627 6.564
Li Er Pa N
2 2 2 6
Direct
0.250 0.083 0.591 Li
0.750 0.917 0.409 Li
0.250 0.654 0.188 Er
0.750 0.346 0.812 Er
0.250 0.186 0.216 Pa
0.750 0.814 0.784 Pa
0.750 0.877 0.118 N
0.250 0.123 0.882 N
0.250 0.812 0.538 N
0.750 0.188 0.462 N
0.750 0.411 0.164 N
0.250 0.589 0.836 N
```

***

No. 2
LiCoP2 after structural relaxation. Source: Alexandria, functional PBE.

symmetry: Imm2, No. 44
DFT total energy: -5.30 eV/atom
ΔE to the lowest computed polymorph: 1.30 kcal/mol of atoms
crystal system: orthorhombic

Geometry as POSCAR:
```
LiCoP2
1.0
-2.887 6.597 -1.463
-4.676 5.397 1.735
5.143 -5.163 0.943
Co Li P
1 1 2
Direct
0.550 0.550 0.000 Co
0.307 0.807 0.500 Li
0.962 0.962 0.000 P
0.680 0.180 0.500 P
```

***

Question: What is the formula in the second record?
Answer: LiCoP2